Below is AlMo2Rh after structural relaxation, with properties calculated at the PBE-GGA level.

As for the theoretical density: 8893 kg/m3. For the density of states at the Fermi level, the calculation gives 0.6892 states/eV/atom. The total magnetic moment comes out at 0.0 μB per formula unit. Its energy of formation is -0.25 eV per atom.

POSCAR file:
```
AlMo2Rh
1.0
2.747 0.000 0.000
0.000 4.232 0.000
0.000 0.000 5.167
Al Mo Rh
1 2 1
direct
0.000 0.000 0.000
0.500 0.500 0.245
0.500 0.500 0.755
0.000 0.000 0.500
```